An optimized crystal structure of KGaAu2, computed with PBE.

POSCAR file:
```
KGaAu2
1.0
5.456 0.000 0.000
0.000 5.456 0.000
0.000 0.000 17.193
K Ga Au
4 4 8
Cartesian
0.000 1.364 6.447
0.000 4.092 10.746
2.728 1.364 2.149
2.728 4.092 15.044
0.000 1.364 15.044
0.000 4.092 2.149
2.728 1.364 10.746
2.728 4.092 6.447
0.000 0.000 0.000
0.000 2.728 0.000
1.364 1.364 12.895
1.364 4.092 4.298
2.728 0.000 8.597
2.728 2.728 8.597
4.092 1.364 12.895
4.092 4.092 4.298
```

For the energy of formation from the pure elements, the calculation gives -0.96 eV/f.u. As for the space group: No. 141.

An optimized crystal structure of KGa3Au, computed with PBE.

POSCAR file:
```
KGa3Au
1.0
7.272 -4.935 0.000
7.272 4.935 0.000
-1.399 0.000 6.384
K Ga Au
4 12 4
Cartesian
6.223 4.751 4.788
6.922 1.396 1.596
6.223 -1.396 4.788
6.922 -4.751 1.596
1.864 1.695 3.996
2.673 1.563 0.436
3.895 0.174 2.514
3.195 -0.174 5.706
1.974 -1.563 3.628
2.564 -1.695 0.804
10.581 1.695 5.580
11.171 1.563 2.756
9.950 0.174 0.678
9.250 -0.174 3.870
10.472 -1.563 5.948
11.281 -1.695 2.388
4.807 1.736 4.545
7.638 1.736 5.031
5.507 -1.736 1.353
8.338 -1.736 1.839
```

For the energy of formation from the pure elements, the calculation gives -0.71 eV/f.u. As for the space group: No. 15. For the offset from the most stable computed form, the calculation gives 86 meV per atom.

An optimized crystal structure of K6GaAu4, computed with PBE.

POSCAR file:
```
K6GaAu4
1.0
-2.225 9.244 4.867
2.225 -9.244 4.867
2.225 9.244 -4.867
K Ga Au
6 1 4
Cartesian
0.000 1.742 0.000
2.225 -2.427 3.456
2.225 2.427 3.456
0.000 5.962 2.028
0.000 12.527 2.028
0.000 16.747 0.000
0.000 0.000 5.961
2.225 4.279 0.276
0.000 0.000 3.281
0.000 9.244 2.408
0.000 4.965 5.144
```

For the energy of formation from the pure elements, the calculation gives -2.35 eV/f.u. As for the space group: No. 44.

An optimized crystal structure of K3GaAu2, computed with PBE.

POSCAR file:
```
K3GaAu2
1.0
9.022 0.000 0.000
0.000 10.382 0.000
-4.738 0.000 9.580
K Ga Au
12 4 8
Cartesian
0.433 2.239 3.097
-1.936 2.952 7.887
1.483 5.583 1.353
-0.886 9.989 6.143
-0.216 6.096 5.092
2.153 9.476 0.302
2.131 0.906 9.278
4.500 4.285 4.488
5.169 0.393 3.437
2.800 4.798 8.227
6.219 7.430 1.693
3.850 8.143 6.483
-0.645 6.106 8.668
1.724 9.466 3.878
2.560 0.916 5.702
4.929 4.275 0.912
-2.962 5.976 7.514
-0.593 9.596 2.724
3.348 2.381 1.504
0.979 2.810 6.294
3.305 7.572 3.286
0.936 8.001 8.076
4.877 0.786 6.857
7.246 4.405 2.066
```

For the energy of formation from the pure elements, the calculation gives -1.22 eV/f.u. As for the space group: No. 14. For the offset from the most stable computed form, the calculation gives 0 meV per atom.

An optimized crystal structure of K2Ga2Au5, computed with PBE.

POSCAR file:
```
K2Ga2Au5
1.0
6.807 -2.295 0.000
6.807 2.295 0.000
-1.564 0.000 7.886
K Ga Au
2 2 5
Cartesian
1.069 0.000 2.445
10.982 0.000 5.441
4.331 0.000 0.424
7.719 0.000 7.462
1.202 0.000 6.251
5.137 0.000 2.937
6.807 0.000 0.000
6.914 0.000 4.949
10.849 0.000 1.635
```

For the energy of formation from the pure elements, the calculation gives -2.38 eV/f.u. As for the space group: No. 12.

An optimized crystal structure of K2GaAu, computed with PBE.

POSCAR file:
```
K2GaAu
1.0
3.935 0.000 0.000
-1.968 3.408 0.000
0.000 0.000 34.426
K Ga Au
6 3 3
Cartesian
0.000 0.000 3.420
0.000 0.000 31.007
0.000 2.272 19.531
0.000 2.272 26.371
1.968 1.136 8.056
1.968 1.136 14.895
0.000 0.000 0.000
0.000 2.272 22.951
1.968 1.136 11.475
0.000 0.000 17.213
0.000 2.272 5.738
1.968 1.136 28.689
```

For the energy of formation from the pure elements, the calculation gives 0.71 eV/f.u. As for the space group: No. 166.

An optimized crystal structure of KGa6Au4, computed with PBE.

POSCAR file:
```
KGa6Au4
1.0
-3.523 3.523 4.811
3.523 -3.523 4.811
3.523 3.523 -4.811
K Ga Au
1 6 4
Cartesian
0.000 0.000 0.000
3.523 0.000 0.000
2.215 2.215 -1.728
1.307 -1.307 6.539
0.000 3.523 0.000
1.307 1.307 3.083
-1.307 1.307 6.539
1.271 -1.271 3.825
2.252 2.252 0.986
-1.271 1.271 3.825
1.271 1.271 5.797
```

For the energy of formation from the pure elements, the calculation gives -1.70 eV/f.u. As for the space group: No. 121.

An optimized crystal structure of K5Ga2Au4, computed with PBE.

POSCAR file:
```
K5Ga2Au4
1.0
9.896 -2.391 0.000
9.896 2.391 0.000
-1.946 0.000 8.318
K Ga Au
5 2 4
Cartesian
0.000 0.000 0.000
6.507 0.000 0.384
5.775 0.000 4.631
12.071 0.000 3.687
11.340 0.000 7.934
-0.122 0.000 5.263
17.968 0.000 3.055
2.477 0.000 5.963
8.909 0.000 2.596
8.937 0.000 5.722
15.369 0.000 2.355
```

For the energy of formation from the pure elements, the calculation gives -2.49 eV/f.u. As for the space group: No. 12.

An optimized crystal structure of KGaAu2, computed with PBE.

POSCAR file:
```
KGaAu2
1.0
4.607 0.000 0.000
-2.303 3.989 0.000
0.000 0.000 17.820
K Ga Au
3 3 6
Cartesian
0.000 0.000 0.000
0.000 2.660 11.880
2.303 1.330 5.940
0.000 0.000 8.910
0.000 2.660 2.970
2.303 1.330 14.850
0.000 0.000 3.456
0.000 0.000 14.364
0.000 2.660 8.424
0.000 2.660 15.336
2.303 1.330 2.484
2.303 1.330 9.396
```

For the energy of formation from the pure elements, the calculation gives -1.11 eV/f.u. As for the space group: No. 166.

An optimized crystal structure of K2GaAu, computed with PBE.

POSCAR file:
```
K2GaAu
1.0
12.402 0.000 0.000
0.000 12.402 0.000
0.000 0.000 4.901
K Ga Au
8 4 4
Cartesian
0.901 3.100 0.613
3.100 7.102 1.838
3.100 11.501 4.288
5.300 3.100 3.063
7.102 9.301 3.063
9.301 0.901 4.288
9.301 5.300 1.838
11.501 9.301 0.613
0.000 0.000 2.450
0.000 6.201 3.676
6.201 0.000 1.225
6.201 6.201 0.000
0.000 0.000 0.000
0.000 6.201 1.225
6.201 0.000 3.676
6.201 6.201 2.450
```

For the energy of formation from the pure elements, the calculation gives -0.57 eV/f.u. As for the space group: No. 122.

An optimized crystal structure of KGaAu3, computed with PBE.

POSCAR file:
```
KGaAu3
1.0
6.075 0.000 0.000
0.000 6.430 0.000
-0.929 0.000 6.185
K Ga Au
2 2 6
Cartesian
0.000 0.000 0.000
1.716 3.215 2.117
1.294 0.000 3.491
4.242 3.215 4.626
2.213 1.611 5.290
2.213 4.819 5.290
2.942 0.000 1.526
4.713 3.215 0.954
5.049 1.380 3.051
5.049 5.050 3.051
```

For the energy of formation from the pure elements, the calculation gives -1.12 eV/f.u. As for the space group: No. 6. For the offset from the most stable computed form, the calculation gives 48 meV per atom.

An optimized crystal structure of K4Ga5Au6, computed with PBE.

POSCAR file:
```
K4Ga5Au6
1.0
2.284 -10.168 0.000
2.284 10.168 0.000
0.000 0.000 17.555
K Ga Au
8 10 12
Cartesian
2.284 10.122 8.777
2.284 10.055 4.129
2.284 6.521 9.795
2.284 6.469 3.065
2.284 -6.469 11.842
2.284 -6.521 1.018
2.284 -10.055 12.907
2.284 -10.122 0.000
2.284 7.747 15.200
2.284 4.082 15.164
2.284 3.058 8.589
2.284 3.007 4.257
2.284 1.402 15.278
2.284 -1.402 6.501
2.284 -3.007 13.034
2.284 -3.058 17.366
2.284 -4.082 6.387
2.284 -7.747 6.423
2.284 7.461 6.454
2.284 5.932 13.322
2.284 5.895 17.044
2.284 1.424 10.567
2.284 1.344 2.309
2.284 1.210 6.443
2.284 -1.210 15.220
2.284 -1.344 11.087
2.284 -1.424 1.790
2.284 -5.895 8.266
2.284 -5.932 4.545
2.284 -7.461 15.231
```

For the energy of formation from the pure elements, the calculation gives -4.00 eV/f.u. As for the space group: No. 36.